Record 1
Below is a relaxed structure of ZrRhBr2, with properties calculated at the GGA-PBE level.

The density of states at the Fermi level is 0.7945 states/eV per atom. The calculation puts the raw formation energy at -0.034 eV/atom. As for the offset from the most stable computed form: 662 meV/atom.

It has space group Pmmm (No. 47), with a = 3.256 Å, b = 4.457 Å, c = 5.570 Å, α = 90.00°, β = 90.00° and γ = 90.00°. The inequivalent atoms are Zr at (0.000, 0.000, 0.000), Rh at (0.500, 0.000, 0.500), Br at (0.000, 0.500, 0.500) and Br at (0.500, 0.500, 0.000).



Record 2
Below is a relaxed structure of Mg2TaTc, with properties calculated at the GGA-PBE level.

For the formation energy from the elements, the calculation gives 483.6 meV per atom. The density of states at the Fermi level is 0.6535 states/eV per atom. As for the offset from the most stable computed form: 481 meV/atom.

It has space group P4/mmm (No. 123), with a = 3.541 Å, b = 3.541 Å, c = 5.534 Å, α = 90.00°, β = 90.00° and γ = 90.00°. The inequivalent atoms are Mg at (0.000, 0.000, 0.236), Ta at (0.500, 0.500, 0.500) and Tc at (0.500, 0.500, 0.000).